(1)
Material: Ac7Pm12Nd
Method: DFT, PBE
State: optimized geometry

## Properties
- E_form: 73.7 kJ per mole of atoms
- Fermi-level density of states: 61.0 states/eV per cell

Unit cell a=12.162 b=12.162 c=12.162 alpha=90.00 beta=90.00 gamma=90.00
Space group Im-3m (No. 229)
Symmetry-distinct sites (fractional):
Ac 0.000 0.000 0.500 x6
Ac 0.250 0.250 0.250 x8
Pm 0.000 0.242 0.242 x24
Nd 0.000 0.000 0.000 x2

(2)
Material: AcPm3Nd3
Method: DFT, PBE
State: optimized geometry

## Properties
- E_form: 3.8 kJ per mole of atoms
- Energy above the lowest structure with this stoichiometry: 16.1 meV per atom
- Fermi-level density of states: 23.9 states/eV per cell

Unit cell a=9.9353 b=9.9353 c=5.9853 alpha=90.00 beta=90.00 gamma=120.00
Space group P6_3/m (No. 176)
Symmetry-distinct sites (fractional):
Ac 0.3333 0.6667 0.2500 x2
Pm 0.0441 0.2331 0.2500 x6
Nd 0.0937 0.4712 0.7500 x6

(3)
Material: AcPm2Nd
Method: DFT, PBE
State: optimized geometry

## Properties
- E_form: 3.7 kJ per mole of atoms
- Energy above the lowest structure with this stoichiometry: 12.2 meV per atom
- Fermi-level density of states: 17.5 states/eV per cell

Unit cell a=3.7615 b=3.7615 c=36.4482 alpha=90.00 beta=90.00 gamma=120.00
Space group R3m (No. 160, hexagonal axes)
Symmetry-distinct sites (fractional):
Ac 0.0000 0.0000 0.0000 x3
Pm 0.0000 0.0000 0.2473 x3
Pm 0.0000 0.0000 0.4196 x3
Nd 0.0000 0.0000 0.8335 x3

(4)
Material: Ac6PmNd5
Method: DFT, PBE
State: optimized geometry

## Properties
- E_form: 2.7 kJ per mole of atoms
- Fermi-level density of states: 19.8 states/eV per cell

Unit cell a=6.551 b=7.763 c=10.154 alpha=67.53 beta=88.08 gamma=89.93
Space group P-1 (No. 2)
Symmetry-distinct sites (fractional):
Ac 0.000 0.250 0.000 x2
Ac 0.334 0.083 0.333 x2
Ac 0.334 0.584 0.333 x2
Pm 0.500 0.000 0.000 x1
Nd 0.166 0.667 0.667 x2
Nd 0.167 0.167 0.667 x2
Nd 0.500 0.500 0.000 x1